Record 1
Density functional theory data (PBE+U) for CrIrN2F after structural relaxation.

Computed properties:
DOS(E_F), states/eV/f.u.: 1.7
Calculated volume, Å³/cell: 69
SG: No. 123
Distance to the lowest polymorph of the same formula, meV per atom: 0

Structure (POSCAR):
```
CrIrN2F
1.0
3.769 0.000 0.000
0.000 3.769 0.000
0.000 0.000 4.828
Cr Ir N F
1 1 2 1
Cartesian
0.000 0.000 0.000
1.885 1.885 2.414
0.000 1.885 2.414
1.885 0.000 2.414
1.885 1.885 0.000
```



Record 2
Density functional theory data (PBE+U) for CrIrNF2 after structural relaxation.

Computed properties:
DOS(E_F), states/eV/f.u.: 1.7
Calculated volume, Å³/cell: 73
SG: No. 123
Distance to the lowest polymorph of the same formula, meV per atom: 0

Structure (POSCAR):
```
CrIrNF2
1.0
4.445 0.000 0.000
0.000 4.445 0.000
0.000 0.000 3.691
Cr Ir N F
1 1 1 2
Cartesian
0.000 0.000 0.000
2.223 2.223 1.845
2.223 2.223 0.000
0.000 2.223 1.845
2.223 0.000 1.845
```



Record 3
Density functional theory data (PBE+U) for CrIrNF2 after structural relaxation.

Computed properties:
DOS(E_F), states/eV/f.u.: 3.5
Calculated volume, Å³/cell: 62
SG: No. 123
Distance to the lowest polymorph of the same formula, meV per atom: 270

Structure (POSCAR):
```
CrIrNF2
1.0
3.733 0.000 0.000
0.000 3.733 0.000
0.000 0.000 4.444
Cr Ir N F
1 1 1 2
Cartesian
0.000 0.000 0.000
1.866 1.866 2.222
0.000 0.000 2.222
0.000 1.866 0.000
1.866 0.000 0.000
```



Record 4
Density functional theory data (PBE+U) for CrIrN2F after structural relaxation.

Computed properties:
DOS(E_F), states/eV/f.u.: 4.4
Calculated volume, Å³/cell: 56
SG: No. 123
Distance to the lowest polymorph of the same formula, meV per atom: 465

Structure (POSCAR):
```
CrIrN2F
1.0
3.914 0.000 0.000
0.000 3.914 0.000
0.000 0.000 3.648
Cr Ir N F
1 1 2 1
Cartesian
0.000 0.000 0.000
1.957 1.957 1.824
0.000 1.957 0.000
1.957 0.000 0.000
0.000 0.000 1.824
```



Record 5
Density functional theory data (PBE+U) for CrIrOF2 after structural relaxation.

Computed properties:
DOS(E_F), states/eV/f.u.: 3.3
Calculated volume, Å³/cell: 63
SG: No. 123
Distance to the lowest polymorph of the same formula, meV per atom: 87

Structure (POSCAR):
```
CrIrOF2
1.0
3.883 0.000 0.000
0.000 3.883 0.000
0.000 0.000 4.204
Cr Ir O F
1 1 1 2
Cartesian
0.000 0.000 0.000
1.942 1.942 2.102
0.000 0.000 2.102
0.000 1.942 0.000
1.942 0.000 0.000
```



Record 6
Density functional theory data (PBE+U) for CrIrO2F after structural relaxation.

Computed properties:
DOS(E_F), states/eV/f.u.: 6.0
Calculated volume, Å³/cell: 59
Calculated total energy, eV per atom: -5.77
SG: No. 123

Structure (POSCAR):
```
CrIrO2F
1.0
3.959 0.000 0.000
0.000 3.959 0.000
0.000 0.000 3.763
Cr Ir O F
1 1 2 1
Cartesian
0.000 0.000 0.000
1.980 1.980 1.882
0.000 1.980 0.000
1.980 0.000 0.000
0.000 0.000 1.882
```